A relaxed structure of ZrAl2Cu4. Source: Alexandria, functional GGA-PBEsol.

Properties
Energy relative to the elements   -1.93 eV per formula unit
Magnetization   0.000 μB/f.u.
DOS at the Fermi energy   6.3 states/eV/cell

Structure (extended XYZ):
```
14
Lattice="4.097 0.000 0.000 0.000 5.571 0.010 0.000 -1.863 8.497" Properties=species:S:1:pos:R:3 pbc="T T T"
Cu 1.024 0.625 7.771
Cu 1.024 4.678 2.970
Cu 1.024 2.843 4.656
Cu 3.073 -0.263 1.720
Cu 3.073 -0.971 5.537
Cu 3.073 0.865 3.851
Cu 3.073 3.082 0.736
Cu 1.024 3.970 6.787
Al 1.024 4.658 0.435
Al 3.073 3.313 3.376
Al 1.024 0.394 5.131
Al 3.073 -0.951 8.072
Zr 1.024 1.743 1.981
Zr 3.073 1.964 6.526
```

A relaxed structure of Dy3Al2. Source: Alexandria, functional GGA-PBEsol.

Properties
Energy relative to the elements   -1.56 eV per formula unit
Magnetization   0.000 μB/f.u.
DOS at the Fermi energy   23.9 states/eV/cell

Structure (extended XYZ):
```
20
Lattice="-3.098 4.085 -5.446 -6.410 1.500 4.771 3.698 6.643 2.880" Properties=species:S:1:pos:R:3 pbc="T T T"
Al -2.986 7.956 5.679
Al -4.885 10.460 2.341
Al -0.925 1.768 -0.135
Al -4.718 6.287 0.277
Al -3.520 4.706 2.384
Al -1.092 5.941 1.930
Al -2.824 4.273 -3.473
Al -2.290 7.522 -0.178
Dy -3.452 7.757 2.646
Dy -1.758 5.278 4.959
Dy -3.980 1.771 1.024
Dy -6.462 4.304 1.769
Dy -0.954 2.865 2.693
Dy 0.652 7.924 0.438
Dy -0.474 6.386 -2.644
Dy -2.358 4.472 -0.440
Dy 1.659 5.606 3.262
Dy -4.372 2.537 4.390
Dy -5.528 3.814 -1.699
Dy 1.075 4.343 0.079
```

A relaxed structure of Dy2Al. Source: Alexandria, functional GGA-PBEsol.

Properties
Energy relative to the elements   -0.86 eV per formula unit
Magnetization   0.000 μB/f.u.
DOS at the Fermi energy   9.2 states/eV/cell

Structure (extended XYZ):
```
12
Lattice="-1.745 4.099 -2.336 -5.674 -2.901 -0.851 -2.967 3.402 8.185" Properties=species:S:1:pos:R:3 pbc="T T T"
Dy -6.479 2.529 1.154
Dy -3.576 5.408 4.035
Dy -2.594 2.778 -1.311
Dy -3.736 0.371 0.734
Dy -6.650 4.229 4.264
Dy -6.811 -0.808 0.962
Dy -3.907 2.071 3.844
Dy -7.792 1.822 6.309
Al -4.763 3.227 6.512
Al -5.623 1.373 -1.515
Al -6.725 0.773 3.672
Al -3.661 3.827 1.325
```

A relaxed structure of DyAl3. Source: Alexandria, functional GGA-PBEsol.

Properties
Energy relative to the elements   -1.18 eV per formula unit
Magnetization   0.000 μB/f.u.
DOS at the Fermi energy   2.5 states/eV/cell

Structure (extended XYZ):
```
4
Lattice="-3.123 2.218 -1.597 -2.562 -3.221 0.538 1.805 2.018 4.668" Properties=species:S:1:pos:R:3 pbc="T T T"
Al -1.800 -0.852 2.338
Al -2.081 1.868 1.271
Al -2.843 -0.501 -0.529
Dy 0.000 0.000 0.000
```